(1)
This record from the Alexandria database describes a geometry-optimized K2AlSbO6 structure. The functional is PBE-GGA.

extended XYZ file:
```
10
Lattice="-2.285 1.892 4.394 0.691 -5.424 2.695 4.380 4.214 0.464" Properties=species:S:1:pos:R:3 pbc="T T T"
K 2.805 1.287 1.872
K -0.019 -0.606 5.680
Al 0.000 0.000 0.000
Sb -1.143 0.946 2.197
O -0.432 1.857 3.848
O 2.129 4.320 4.119
O 2.533 1.150 5.695
O 0.658 -3.639 3.433
O 0.253 -0.468 1.858
O 3.218 -1.175 3.704
```

Summary:
Raw total energy: -5.513 eV/atom

---

(2)
This record from the Alexandria database describes a geometry-optimized KAl2Sb2O7 structure. The functional is PBE-GGA.

extended XYZ file:
```
12
Lattice="5.619 0.000 0.000 2.810 4.866 0.000 2.810 1.622 8.276" Properties=species:S:1:pos:R:3 pbc="T T T"
K 5.619 3.244 4.138
Al 8.429 4.866 1.732
Al 2.810 1.622 6.545
Sb 8.429 4.866 6.826
Sb 2.810 1.622 1.451
O 4.429 5.257 2.373
O 4.471 1.207 2.373
O 7.957 3.269 2.373
O 4.429 1.232 5.903
O 7.957 3.220 5.903
O 0.000 0.000 0.000
O 4.471 5.281 5.903
```

Summary:
Raw total energy: -6.290 eV/atom